# 1
Compound: HfZnTcNi2
Source: Alexandria
Functional: PBE-GGA
Structure: optimized geometry

Lattice parameters (Å, degrees): 4.4724 4.4724 4.9468 90.00 90.00 90.00
Last column: nearest neighbours and their distance in Å.
Sites, in units of the cell vectors:
Hf1 0.0000 0.0000 0.0000  4 Ni 2.24, 2 Zn 2.47
Zn1 0.0000 0.0000 0.5000  2 Hf 2.47
Tc1 0.5000 0.5000 0.5000  4 Zn 3.16, 8 Ni 3.33
Ni1 0.0000 0.5000 0.0000  2 Hf 2.24
Ni2 0.5000 0.0000 0.0000  2 Hf 2.24

## Properties
* volume: 99 Å³ per cell
* magnetic moment: 3.06 μB/cell
* DFT formation energy: 1.52 eV per atom
* uncorrected energy: -5.11 eV per atom

# 2
Compound: HfZr2TcNi
Source: Alexandria
Functional: PBE-GGA
Structure: optimized geometry

Lattice parameters (Å, degrees): 5.1565 5.1565 4.5733 90.00 90.00 90.00
Last column: nearest neighbours and their distance in Å.
Sites, in units of the cell vectors:
Hf1 0.0000 0.0000 0.0000  2 Tc 2.29
Zr1 0.0000 0.5000 0.0000  2 Hf 2.58
Zr2 0.5000 0.0000 0.0000  2 Hf 2.58
Tc1 0.0000 0.0000 0.5000  2 Hf 2.29
Ni1 0.5000 0.5000 0.5000  8 Zr 3.45, 4 Tc 3.65

## Properties
* volume: 122 Å³ per cell
* magnetic moment: 0.00 μB/cell
* DFT formation energy: 1.53 eV per atom
* uncorrected energy: -7.11 eV per atom

# 3
Compound: HfNiTe2
Source: Alexandria
Functional: PBE-GGA
Structure: optimized geometry

Lattice parameters (Å, degrees): 8.7553 8.7553 8.7553 25.65 25.65 25.65
Last column: nearest neighbours and their distance in Å.
Sites, in units of the cell vectors:
Hf1 0.0000 0.0000 0.0000  6 Te 2.88
Ni1 0.5000 0.5000 0.5000  2 Te 2.43
Te1 0.4043 0.4043 0.4043  1 Ni 2.43
Te2 0.5957 0.5957 0.5957  1 Ni 2.43

## Properties
* volume: 111 Å³ per cell
* magnetic moment: 0.35 μB/cell
* relative energy among the computed polymorphs: 548 meV per atom
* uncorrected energy: -5.64 eV per atom
* formation energy (no corrections): -0.1339 eV/atom

# 4
Compound: HfNi4Te
Source: Alexandria
Functional: PBE-GGA
Structure: optimized geometry

Lattice parameters (Å, degrees): 4.9232 4.9232 4.9232 60.00 60.00 60.00
Last column: nearest neighbours and their distance in Å.
Sites, in units of the cell vectors:
Hf1 0.0000 0.0000 0.0000  12 Ni 2.88, 4 Te 3.01
Ni1 0.3737 0.3737 0.3737  6 Ni 2.44-2.49
Ni2 0.3737 0.3737 0.8788  6 Ni 2.44-2.49
Ni3 0.3737 0.8788 0.3737  6 Ni 2.44-2.49
Ni4 0.8788 0.3737 0.3737  6 Ni 2.44-2.49
Te1 0.7500 0.7500 0.7500  12 Ni 2.89, 4 Hf 3.01

## Properties
* volume: 84 Å³ per cell
* magnetic moment: 0.61 μB/cell
* uncorrected energy: -6.25 eV per atom
* formation energy (no corrections): -0.2138 eV/atom

# 5
Compound: HfNiTe
Source: Alexandria
Functional: PBE-GGA
Structure: optimized geometry

Lattice parameters (Å, degrees): 10.0673 10.0673 3.9572 90.00 90.00 160.48
Last column: nearest neighbours and their distance in Å.
Sites, in units of the cell vectors:
Hf1 0.0715 0.9285 0.7500  6 Ni 2.70-2.72
Hf2 0.9285 0.0715 0.2500  6 Ni 2.70-2.72
Ni1 0.4663 0.5337 0.7500  2 Ni 2.39, 1 Te 2.53
Ni2 0.5337 0.4663 0.2500  2 Ni 2.39, 1 Te 2.53
Te1 0.3388 0.6612 0.7500  1 Ni 2.53
Te2 0.6612 0.3388 0.2500  1 Ni 2.53

## Properties
* volume: 134 Å³ per cell
* magnetic moment: 0.00 μB/cell
* uncorrected energy: -6.89 eV per atom
* formation energy (no corrections): -0.6028 eV/atom

# 6
Compound: Hf2NiTe
Source: Alexandria
Functional: PBE-GGA
Structure: optimized geometry

Lattice parameters (Å, degrees): 9.9042 9.9042 9.9042 18.50 18.50 18.50
Last column: nearest neighbours and their distance in Å.
Sites, in units of the cell vectors:
Hf1 0.0840 0.0840 0.0840  1 Ni 2.45
Hf2 0.9160 0.9160 0.9160  1 Ni 2.45
Ni1 0.0000 0.0000 0.0000  2 Hf 2.45
Te1 0.5000 0.5000 0.5000  6 Hf 3.04, 6 Te 3.18

## Properties
* volume: 85 Å³ per cell
* magnetic moment: 0.00 μB/cell
* uncorrected energy: -6.77 eV per atom
* formation energy (no corrections): 0.4342 eV/atom

# 7
Compound: Hf2NiTe
Source: Alexandria
Functional: PBE-GGA
Structure: optimized geometry

Lattice parameters (Å, degrees): 6.0210 6.0210 6.0210 104.18 104.18 120.68
Last column: nearest neighbours and their distance in Å.
Sites, in units of the cell vectors:
Hf1 0.0858 0.1250 0.4608  2 Ni 2.53
Hf2 0.3750 0.9142 0.0392  2 Ni 2.53
Hf3 0.6642 0.6250 0.5392  2 Ni 2.53
Hf4 0.8750 0.3358 0.9608  2 Ni 2.53
Ni1 0.0000 0.0000 0.0000  4 Hf 2.53
Ni2 0.7500 0.2500 0.5000  4 Hf 2.53
Te1 0.2500 0.7500 0.5000  4 Hf 2.92, 2 Ni 2.98
Te2 0.5000 0.5000 0.0000  4 Hf 2.92, 2 Ni 2.98

## Properties
* volume: 163 Å³ per cell
* magnetic moment: 0.00 μB/cell
* uncorrected energy: -7.35 eV per atom
* formation energy (no corrections): -0.1441 eV/atom

# 8
Compound: HfNiTe2
Source: Alexandria
Functional: PBE-GGA
Structure: optimized geometry

Lattice parameters (Å, degrees): 8.7196 6.6756 8.0378 90.00 117.42 90.00
Last column: nearest neighbours and their distance in Å.
Sites, in units of the cell vectors:
Hf1 0.0002 0.9997 0.2101  2 Ni 2.67, 4 Te 2.90-2.92
Hf2 0.9998 0.0003 0.7899  2 Ni 2.67, 4 Te 2.90-2.92
Hf3 0.9998 0.4997 0.2899  2 Ni 2.67, 4 Te 2.90-2.92
Hf4 0.0002 0.5003 0.7101  2 Ni 2.67, 4 Te 2.90-2.92
Ni1 0.1120 0.1458 0.5557  4 Te 2.57-2.68, 1 Ni 2.61, 2 Hf 2.67
Ni2 0.1120 0.3542 0.0557  4 Te 2.57-2.68, 1 Ni 2.61, 2 Hf 2.67
Ni3 0.8880 0.6458 0.9443  4 Te 2.57-2.68, 1 Ni 2.61, 2 Hf 2.67
Ni4 0.8880 0.8542 0.4443  4 Te 2.57-2.68, 1 Ni 2.61, 2 Hf 2.67
Te1 0.2108 0.7392 0.1048  2 Ni 2.57-2.68
Te2 0.2108 0.7608 0.6048  2 Ni 2.57-2.68
Te3 0.3044 0.2502 0.4020  2 Ni 2.60, 2 Hf 2.90-2.91
Te4 0.3044 0.2498 0.9020  2 Ni 2.60, 2 Hf 2.90-2.91
Te5 0.6956 0.7502 0.0980  2 Ni 2.60, 2 Hf 2.90-2.91
Te6 0.6956 0.7498 0.5980  2 Ni 2.60, 2 Hf 2.90-2.91
Te7 0.7892 0.2392 0.3952  2 Ni 2.57-2.68
Te8 0.7892 0.2608 0.8952  2 Ni 2.57-2.68

## Properties
* volume: 415 Å³ per cell
* magnetic moment: 0.00 μB/cell
* relative energy among the computed polymorphs: 0 meV per atom
* uncorrected energy: -6.19 eV per atom
* formation energy (no corrections): -0.6816 eV/atom

# 9
Compound: Hf2Ni9Te
Source: Alexandria
Functional: PBE-GGA
Structure: optimized geometry

Lattice parameters (Å, degrees): 3.7308 3.7308 11.2542 90.00 90.00 90.00
Last column: nearest neighbours and their distance in Å.
Sites, in units of the cell vectors:
Hf1 0.0000 0.0000 0.1651  12 Ni 2.63-2.64
Hf2 0.0000 0.0000 0.8349  12 Ni 2.63-2.64
Ni1 0.0000 0.5000 0.0000  4 Hf 2.63, 8 Ni 2.64
Ni2 0.0000 0.5000 0.3296  8 Ni 2.62-2.68, 2 Hf 2.63, 2 Te 2.68
Ni3 0.0000 0.5000 0.6704  8 Ni 2.62-2.68, 2 Hf 2.63, 2 Te 2.68
Ni4 0.5000 0.0000 0.0000  4 Hf 2.63, 8 Ni 2.64
Ni5 0.5000 0.0000 0.3296  8 Ni 2.62-2.68, 2 Hf 2.63, 2 Te 2.68
Ni6 0.5000 0.0000 0.6704  8 Ni 2.62-2.68, 2 Hf 2.63, 2 Te 2.68
Ni7 0.5000 0.5000 0.1659  8 Ni 2.62-2.64, 4 Hf 2.64
Ni8 0.5000 0.5000 0.5000  4 Te 2.64, 8 Ni 2.68
Ni9 0.5000 0.5000 0.8341  8 Ni 2.62-2.64, 4 Hf 2.64
Te1 0.0000 0.0000 0.5000  12 Ni 2.64-2.68

## Properties
* volume: 157 Å³ per cell
* magnetic moment: 0.00 μB/cell
* uncorrected energy: -6.60 eV per atom
* formation energy (no corrections): -0.3385 eV/atom

# 10
Compound: HfNiTe2
Source: Alexandria
Functional: PBE-GGA
Structure: optimized geometry

Lattice parameters (Å, degrees): 7.4339 7.4339 7.4339 131.21 131.21 71.48
Last column: nearest neighbours and their distance in Å.
Sites, in units of the cell vectors:
Hf1 0.0000 0.0000 0.0000  4 Te 2.78
Hf2 0.7500 0.2500 0.5000  4 Te 2.78
Ni1 0.2500 0.7500 0.5000  4 Te 2.52
Ni2 0.5000 0.5000 0.0000  4 Te 2.52
Te1 0.1626 0.6250 0.0376  2 Ni 2.52, 2 Hf 2.78
Te2 0.3750 0.4126 0.5376  2 Ni 2.52, 2 Hf 2.78
Te3 0.5874 0.1250 0.9624  2 Ni 2.52, 2 Hf 2.78
Te4 0.8750 0.8374 0.4624  2 Ni 2.52, 2 Hf 2.78

## Properties
* volume: 228 Å³ per cell
* magnetic moment: 0.00 μB/cell
* relative energy among the computed polymorphs: 514 meV per atom
* uncorrected energy: -5.67 eV per atom
* formation energy (no corrections): -0.1673 eV/atom

# 11
Compound: Hf2Ni2Te
Source: Alexandria
Functional: PBE-GGA
Structure: optimized geometry

Lattice parameters (Å, degrees): 6.8443 6.8443 3.6809 90.00 90.00 90.00
Last column: nearest neighbours and their distance in Å.
Sites, in units of the cell vectors:
Hf1 0.1642 0.3358 0.0000  6 Ni 2.72-2.75
Hf2 0.3358 0.8358 0.0000  6 Ni 2.72-2.75
Hf3 0.6642 0.1642 0.0000  6 Ni 2.72-2.75
Hf4 0.8358 0.6642 0.0000  6 Ni 2.72-2.75
Ni1 0.1252 0.6252 0.5000  1 Ni 2.42, 2 Te 2.70
Ni2 0.3748 0.1252 0.5000  1 Ni 2.42, 2 Te 2.70
Ni3 0.6252 0.8748 0.5000  1 Ni 2.42, 2 Te 2.70
Ni4 0.8748 0.3748 0.5000  1 Ni 2.42, 2 Te 2.70
Te1 0.0000 0.0000 0.5000  4 Ni 2.70
Te2 0.5000 0.5000 0.5000  4 Ni 2.70

## Properties
* volume: 172 Å³ per cell
* magnetic moment: 0.00 μB/cell
* uncorrected energy: -7.38 eV per atom
* formation energy (no corrections): -0.4599 eV/atom

# 12
Compound: HfNiTe3
Source: Alexandria
Functional: PBE-GGA
Structure: optimized geometry

Lattice parameters (Å, degrees): 4.9766 4.9766 4.9766 90.00 90.00 90.00
Last column: nearest neighbours and their distance in Å.
Sites, in units of the cell vectors:
Hf1 0.0000 0.0000 0.0000  12 Te 3.52
Ni1 0.5000 0.5000 0.5000  6 Te 2.49
Te1 0.0000 0.5000 0.5000  2 Ni 2.49
Te2 0.5000 0.0000 0.5000  2 Ni 2.49
Te3 0.5000 0.5000 0.0000  2 Ni 2.49

## Properties
* volume: 123 Å³ per cell
* magnetic moment: 0.00 μB/cell
* relative energy among the computed polymorphs: 0 meV per atom
* uncorrected energy: -4.72 eV per atom
* formation energy (no corrections): 0.3073 eV/atom

# 13
Compound: HfNiTe2
Source: Alexandria
Functional: PBE-GGA
Structure: optimized geometry

Lattice parameters (Å, degrees): 4.9215 4.9215 4.9215 60.00 60.00 60.00
Last column: nearest neighbours and their distance in Å.
Sites, in units of the cell vectors:
Hf1 0.0000 0.0000 0.0000  8 Te 3.01
Ni1 0.5000 0.5000 0.5000  8 Te 3.01
Te1 0.2500 0.2500 0.2500  4 Ni 3.01, 4 Hf 3.01
Te2 0.7500 0.7500 0.7500  4 Hf 3.01, 4 Ni 3.01

## Properties
* volume: 84 Å³ per cell
* magnetic moment: 0.00 μB/cell
* relative energy among the computed polymorphs: 630 meV per atom
* uncorrected energy: -5.56 eV per atom
* formation energy (no corrections): -0.0519 eV/atom

# 14
Compound: HfNiTe3
Source: Alexandria
Functional: PBE-GGA
Structure: optimized geometry

Lattice parameters (Å, degrees): 5.4975 5.4975 5.4975 90.00 90.00 90.00
Last column: nearest neighbours and their distance in Å.
Sites, in units of the cell vectors:
Hf1 0.0000 0.0000 0.0000  6 Te 2.75
Ni1 0.5000 0.5000 0.5000  12 Te 3.89
Te1 0.0000 0.0000 0.5000  2 Hf 2.75
Te2 0.0000 0.5000 0.0000  2 Hf 2.75
Te3 0.5000 0.0000 0.0000  2 Hf 2.75

## Properties
* volume: 166 Å³ per cell
* magnetic moment: 0.06 μB/cell
* relative energy among the computed polymorphs: 221 meV per atom
* uncorrected energy: -4.50 eV per atom
* formation energy (no corrections): 0.5282 eV/atom

# 15
Compound: Hf2TiNiTe
Source: Alexandria
Functional: PBE-GGA
Structure: optimized geometry

Lattice parameters (Å, degrees): 4.8404 4.8404 4.6093 90.00 90.00 90.00
Last column: nearest neighbours and their distance in Å.
Sites, in units of the cell vectors:
Hf1 0.0000 0.5000 0.0000  2 Ni 2.42
Hf2 0.5000 0.0000 0.0000  2 Ni 2.42
Ti1 0.0000 0.0000 0.5000  2 Ni 2.30
Ni1 0.0000 0.0000 0.0000  2 Ti 2.30, 4 Hf 2.42
Te1 0.5000 0.5000 0.5000  8 Hf 3.34, 4 Ti 3.42

## Properties
* volume: 108 Å³ per cell
* magnetic moment: 0.88 μB/cell
* relative energy among the computed polymorphs: 0 meV per atom
* uncorrected energy: -7.31 eV per atom
* formation energy (no corrections): 0.0343 eV/atom

# 16
Compound: Hf2TiNiTe
Source: Alexandria
Functional: PBE-GGA
Structure: optimized geometry

Lattice parameters (Å, degrees): 5.1525 5.1525 4.1786 90.00 90.00 90.00
Last column: nearest neighbours and their distance in Å.
Sites, in units of the cell vectors:
Hf1 0.0000 0.5000 0.0000  2 Ti 2.58
Hf2 0.5000 0.0000 0.0000  2 Ti 2.58
Ti1 0.0000 0.0000 0.0000  2 Ni 2.09
Ni1 0.0000 0.0000 0.5000  2 Ti 2.09
Te1 0.5000 0.5000 0.5000  8 Hf 3.32, 4 Ni 3.64

## Properties
* volume: 111 Å³ per cell
* magnetic moment: 0.00 μB/cell
* relative energy among the computed polymorphs: 665 meV per atom
* uncorrected energy: -6.65 eV per atom
* formation energy (no corrections): 0.6990 eV/atom

# 17
Compound: Hf2Tl2NiTe6
Source: Alexandria
Functional: PBE-GGA
Structure: optimized geometry

Lattice parameters (Å, degrees): 7.0405 7.0405 8.7058 98.33 98.33 120.18
Last column: nearest neighbours and their distance in Å.
Sites, in units of the cell vectors:
Hf1 0.1704 0.8296 0.0000  6 Te 2.89-2.92
Hf2 0.8296 0.1704 0.0000  6 Te 2.89-2.92
Tl1 0.3266 0.6734 0.5000  6 Te 3.44-3.49
Tl2 0.6734 0.3266 0.5000  6 Te 3.44-3.49
Ni1 0.5000 0.5000 0.0000  6 Te 2.73-2.78
Te1 0.1092 0.4249 0.8025  1 Ni 2.78, 2 Hf 2.89-2.90
Te2 0.2519 0.2519 0.1904  1 Ni 2.73, 2 Hf 2.92
Te3 0.4249 0.1092 0.8025  1 Ni 2.78, 2 Hf 2.89-2.90
Te4 0.5751 0.8908 0.1975  1 Ni 2.78, 2 Hf 2.89-2.90
Te5 0.7481 0.7481 0.8096  1 Ni 2.73, 2 Hf 2.92
Te6 0.8908 0.5751 0.1975  1 Ni 2.78, 2 Hf 2.89-2.90

## Properties
* volume: 357 Å³ per cell
* magnetic moment: 1.87 μB/cell
* uncorrected energy: -4.96 eV per atom
* formation energy (no corrections): -0.4779 eV/atom

# 18
Compound: HfThNi2
Source: Alexandria
Functional: PBE-GGA
Structure: optimized geometry

Lattice parameters (Å, degrees): 3.2722 3.2722 6.9250 90.00 90.00 90.00
Last column: nearest neighbours and their distance in Å.
Sites, in units of the cell vectors:
Hf1 0.0000 0.0000 0.0000  8 Ni 2.69
Th1 0.0000 0.0000 0.5000  8 Ni 3.11, 4 Th 3.27, 2 Hf 3.46
Ni1 0.5000 0.5000 0.1992  4 Hf 2.69, 1 Ni 2.76
Ni2 0.5000 0.5000 0.8008  4 Hf 2.69, 1 Ni 2.76

## Properties
* volume: 74 Å³ per cell
* magnetic moment: 0.00 μB/cell
* DFT formation energy: -0.36 eV per atom
* relative energy among the computed polymorphs: 24 meV per atom
* uncorrected energy: -7.60 eV per atom

# 19
Compound: Hf2ThNi
Source: Alexandria
Functional: PBE-GGA
Structure: optimized geometry

Lattice parameters (Å, degrees): 3.3029 3.3029 7.8549 90.00 90.00 90.00
Last column: nearest neighbours and their distance in Å.
Sites, in units of the cell vectors:
Hf1 0.0000 0.0000 0.1921  4 Ni 2.78, 1 Hf 3.02
Hf2 0.0000 0.0000 0.8079  4 Ni 2.78, 1 Hf 3.02
Th1 0.5000 0.5000 0.5000  4 Th 3.30, 8 Hf 3.36
Ni1 0.5000 0.5000 0.0000  8 Hf 2.78

## Properties
* volume: 86 Å³ per cell
* magnetic moment: 0.00 μB/cell
* DFT formation energy: -0.12 eV per atom
* uncorrected energy: -8.40 eV per atom

# 20
Compound: Hf2ThNi9
Source: Alexandria
Functional: PBE-GGA
Structure: optimized geometry

Lattice parameters (Å, degrees): 8.4677 8.4677 8.4677 33.68 33.68 33.68
Last column: nearest neighbours and their distance in Å.
Sites, in units of the cell vectors:
Hf1 0.1412 0.1412 0.1412  12 Ni 2.78-2.90, 3 Hf 3.08
Hf2 0.8588 0.8588 0.8588  12 Ni 2.78-2.90, 3 Hf 3.08
Th1 0.0000 0.0000 0.0000  6 Ni 2.83
Ni1 0.0816 0.5893 0.5893  7 Ni 2.39-2.52
Ni2 0.3338 0.3338 0.3338  6 Ni 2.51-2.52
Ni3 0.4107 0.4107 0.9184  7 Ni 2.39-2.52
Ni4 0.4107 0.9184 0.4107  7 Ni 2.39-2.52
Ni5 0.5000 0.5000 0.5000  6 Ni 2.39
Ni6 0.5893 0.0816 0.5893  7 Ni 2.39-2.52
Ni7 0.5893 0.5893 0.0816  7 Ni 2.39-2.52
Ni8 0.6662 0.6662 0.6662  6 Ni 2.51-2.52
Ni9 0.9184 0.4107 0.4107  7 Ni 2.39-2.52

## Properties
* volume: 166 Å³ per cell
* magnetic moment: 0.00 μB/cell
* DFT formation energy: -0.48 eV per atom
* uncorrected energy: -7.10 eV per atom